Here is TeW2O8 at its PBEsol-relaxed geometry from the Alexandria database. Energies are from SCAN.

Output
ΔE_f (raw)   -1.844 eV per atom
E_tot   -22.433 eV per atom
Magnetic moment   0.00 Bohr magnetons per cell

Lattice parameters (Å, degrees): 5.205 5.561 10.097 90.00 98.74 90.00
Positions (direct):
O 0.398 0.591 0.115
W 0.759 0.160 0.510
O 0.870 0.364 0.137
O 0.602 0.409 0.885
O 0.370 0.636 0.637
O 0.956 0.868 0.087
O 0.630 0.364 0.363
W 0.241 0.840 0.490
O 0.130 0.636 0.863
O 0.044 0.132 0.913
O 0.456 0.132 0.587
Te 0.250 0.393 0.750
W 0.741 0.160 0.990
O 0.014 0.057 0.388
O 0.544 0.868 0.413
O 0.986 0.943 0.612
Te 0.750 0.607 0.250
O 0.486 0.057 0.112
W 0.259 0.840 0.010
O 0.102 0.591 0.385
O 0.898 0.409 0.615
O 0.514 0.943 0.888


Here is ZnTeWO2 at its PBEsol-relaxed geometry from the Alexandria database. Energies are from SCAN.

Output
ΔE_f (raw)   -0.994 eV per atom
E_tot   -27.578 eV per atom
Magnetic moment   0.00 Bohr magnetons per cell

Lattice parameters (Å, degrees): 3.850 3.850 5.714 90.00 90.00 90.00
Positions (direct):
Te 0.000 0.000 0.500
Zn 0.500 0.500 0.500
O 0.000 0.500 0.000
W 0.000 0.000 0.000
O 0.500 0.000 0.000


Here is Y2Te5O13 at its PBEsol-relaxed geometry from the Alexandria database. Energies are from SCAN.

Output
ΔE_f (raw)   -1.899 eV per atom
E_tot   -18.046 eV per atom
Magnetic moment   0.00 Bohr magnetons per cell

Lattice parameters (Å, degrees): 6.907 8.565 10.429 88.94 87.29 74.99
Positions (direct):
O 0.674 0.258 0.227
Te 0.292 0.883 0.968
Te 0.151 0.801 0.635
O 0.331 0.518 0.615
Y 0.000 0.738 0.238
O 0.963 0.649 0.439
O 0.124 0.486 0.899
Te 0.872 0.652 0.899
O 0.940 0.182 0.969
O 0.455 0.193 0.514
O 0.473 0.675 0.996
O 0.527 0.325 0.004
O 0.346 0.987 0.125
O 0.684 0.267 0.708
Te 0.436 0.906 0.306
Te 0.849 0.199 0.365
O 0.326 0.742 0.773
O 0.328 0.223 0.776
O 0.669 0.482 0.385
O 0.672 0.777 0.224
O 0.934 0.725 0.719
O 0.876 0.514 0.101
Te 0.564 0.094 0.694
Y 0.446 0.470 0.821
O 0.060 0.818 0.031
O 0.316 0.733 0.292
Y 0.554 0.530 0.179
O 0.237 0.499 0.183
O 0.763 0.501 0.817
O 0.545 0.807 0.486
Y 0.000 0.262 0.762
O 0.950 0.984 0.310
Te 0.267 0.398 0.478
O 0.037 0.351 0.561
O 0.050 0.016 0.690
Te 0.128 0.348 0.101
O 0.066 0.275 0.281
O 0.654 0.013 0.875
Te 0.733 0.602 0.522
Te 0.708 0.117 0.032


Here is Y2Te4O11 at its PBEsol-relaxed geometry from the Alexandria database. Energies are from SCAN.

Output
ΔE_f (raw)   -2.038 eV per atom
E_tot   -18.111 eV per atom
Magnetic moment   0.00 Bohr magnetons per cell

Lattice parameters (Å, degrees): 5.088 6.644 15.612 80.70 80.62 67.49
Positions (direct):
Y 0.867 0.298 0.463
O 0.337 0.469 0.947
O 0.785 0.135 0.170
O 0.910 0.635 0.670
O 0.215 0.865 0.830
O 0.685 0.133 0.370
O 0.247 0.969 0.447
Y 0.133 0.702 0.537
O 0.663 0.531 0.053
O 0.446 0.549 0.403
Te 0.161 0.376 0.871
O 0.175 0.319 0.546
Te 0.839 0.624 0.129
Te 0.153 0.049 0.202
O 0.398 0.951 0.097
O 0.825 0.681 0.454
O 0.753 0.031 0.553
O 0.960 0.819 0.046
Te 0.592 0.876 0.371
O 0.315 0.867 0.630
Te 0.847 0.951 0.798
O 0.090 0.365 0.330
Te 0.596 0.549 0.702
Y 0.629 0.202 0.037
O 0.040 0.181 0.954
O 0.863 0.250 0.750
Te 0.404 0.451 0.298
O 0.602 0.049 0.903
Te 0.408 0.124 0.629
O 0.188 0.367 0.130
O 0.812 0.633 0.870
O 0.554 0.451 0.597
Y 0.371 0.798 0.963
O 0.137 0.750 0.250